The following is a DFT calculation (meta-GGA SCAN) of ZnMoRu at its PBEsol-relaxed geometry.

Summary:
The calculation puts the magnetization at 0.00 μB per formula unit. The energy above the most stable polymorph in this dataset comes out at 0.0 meV per atom. Its space group is I4mm, No. 107.

abc: 3.0270 3.0270 5.0556
angles: 107.42 107.42 90.00
Closest atoms and distances in Å follow each position.
Atoms (fractional coordinates):
1 Ru 0.6626 0.6626 0.3252  4 Mo 2.57, 4 Zn 2.63
2 Mo 0.0083 0.0083 0.0165  4 Ru 2.57, 4 Zn 2.70
3 Zn 0.3291 0.3291 0.6583  4 Ru 2.63, 5 Mo 2.70-2.94